# MoWN2F (PBE with a Hubbard U, relaxed)
# Space group: P4/mmm, No. 123
# Total magnetization in μB per formula unit: 5.0
# E in eV per formula unit: -30.51
# Relative energy among the computed polymorphs in eV/f.u.: 1.976
# ρ in g/cm³: 8.0
# V in Å³ per cell: 67.6
data_MoWN2F
_cell_length_a 4.1018
_cell_length_b 4.1018
_cell_length_c 4.0186
_cell_angle_alpha 90.00
_cell_angle_beta 90.00
_cell_angle_gamma 90.00
_symmetry_space_group_name_H-M 'P 1'
_symmetry_Int_Tables_number 1
loop_
_symmetry_equiv_pos_as_xyz
'x,y,z'
loop_
_atom_site_label
_atom_site_type_symbol
_atom_site_fract_x
_atom_site_fract_y
_atom_site_fract_z
_atom_site_occupancy
Mo1 Mo 0.0000 0.0000 0.0000 1
W1 W 0.5000 0.5000 0.5000 1
N1 N 0.0000 0.5000 0.0000 1
N2 N 0.5000 0.0000 0.0000 1
F1 F 0.0000 0.0000 0.5000 1